(1)
A plane-wave DFT calculation with PBE was carried out for crystalline MnCuNi14 at its relaxed geometry.

Results
The raw total energy comes out at -94.32 eV/cell. As for the space group: P4/mmm, No. 123. As for the formation enthalpy at 0 K: -0.01 eV/atom.

Lattice parameters (Å, degrees): 5.017 5.017 7.041 90.00 90.00 90.00
Site moments in Bohr magnetons follow the coordinates.
Fractional coordinates of all 16 atoms:
Mn 0.875 0.875 0.500  3.28
Cu 0.375 0.375 0.500  0.07
Ni 0.875 0.875 0.000  0.83
Ni 0.375 0.375 0.000  0.65
Ni 0.875 0.375 0.500  0.65
Ni 0.875 0.375 0.000  0.70
Ni 0.375 0.875 0.500  0.65
Ni 0.375 0.875 0.000  0.70
Ni 0.625 0.125 0.247  0.68
Ni 0.625 0.125 0.753  0.68
Ni 0.125 0.625 0.247  0.68
Ni 0.125 0.625 0.753  0.68
Ni 0.625 0.625 0.247  0.68
Ni 0.625 0.625 0.753  0.68
Ni 0.125 0.125 0.247  0.68
Ni 0.125 0.125 0.753  0.68

***

(2)
A plane-wave DFT calculation with PBE was carried out for crystalline MnCu3Ni4 at its relaxed geometry.

Results
The raw total energy comes out at -89.11 eV/cell. As for the space group: P2/c, No. 13. As for the formation enthalpy at 0 K: 0.00 eV/atom.

Lattice parameters (Å, degrees): 4.389 8.781 5.070 90.00 90.00 70.62
Site moments in Bohr magnetons follow the coordinates.
Fractional coordinates of all 16 atoms:
Ni 0.936 0.000 0.129  0.34
Ni 0.436 0.000 0.879  0.25
Ni 0.938 0.750 0.882  0.46
Ni 0.433 0.750 0.118  0.46
Ni 0.936 0.500 0.121  0.25
Ni 0.436 0.500 0.871  0.34
Ni 0.438 0.250 0.118  0.46
Ni 0.933 0.250 0.882  0.46
Mn 0.936 0.000 0.638  3.40
Mn 0.436 0.500 0.362  3.40
Cu 0.436 0.000 0.370  0.05
Cu 0.932 0.750 0.373  0.06
Cu 0.439 0.750 0.627  0.06
Cu 0.936 0.500 0.630  0.05
Cu 0.432 0.250 0.627  0.06
Cu 0.939 0.250 0.373  0.06

***

(3)
A plane-wave DFT calculation with PBE was carried out for crystalline MnCu2Ni at its relaxed geometry.

Results
The raw total energy comes out at -23.07 eV/cell. As for the space group: Pm, No. 6. As for the formation enthalpy at 0 K: 0.02 eV/atom.

Lattice parameters (Å, degrees): 3.437 2.701 5.902 62.48 90.00 90.00
Site moments in Bohr magnetons follow the coordinates.
Fractional coordinates of all 4 atoms:
Ni 0.500 0.751 0.749  0.60
Mn 0.000 0.491 0.509  3.49
Cu 0.000 0.999 0.001  0.04
Cu 0.500 0.258 0.242  0.11

***

(4)
A plane-wave DFT calculation with PBE was carried out for crystalline MnCu2Ni8 at its relaxed geometry.

Results
The raw total energy comes out at -61.42 eV/cell. As for the space group: Cmmm, No. 65. As for the formation enthalpy at 0 K: 0.20 eV/atom. Its offset from the most stable computed form is 0.24 eV/f.u.

Lattice parameters (Å, degrees): 3.828 5.946 5.946 105.37 90.04 90.04
Site moments in Bohr magnetons follow the coordinates.
Fractional coordinates of all 11 atoms:
Mn 0.500 0.000 0.000  2.97
Cu 0.000 0.622 0.378  0.06
Cu 0.000 0.378 0.622  0.06
Ni 0.999 0.965 0.700  0.55
Ni 0.999 0.700 0.965  0.55
Ni 0.500 0.668 0.668  0.47
Ni 0.500 0.247 0.753  0.53
Ni 0.500 0.753 0.247  0.53
Ni 0.500 0.332 0.332  0.47
Ni 0.001 0.300 0.035  0.55
Ni 0.001 0.035 0.300  0.55

***

(5)
A plane-wave DFT calculation with PBE was carried out for crystalline MnCuNi5 at its relaxed geometry.

Results
The raw total energy comes out at -81.58 eV/cell. As for the space group: C2/c, No. 15. As for the formation enthalpy at 0 K: 0.20 eV/atom. Its offset from the most stable computed form is 0.10 eV/f.u.

Lattice parameters (Å, degrees): 4.851 4.851 9.827 60.82 60.82 64.92
Site moments in Bohr magnetons follow the coordinates.
Fractional coordinates of all 14 atoms:
Mn 0.660 0.340 0.250  3.41
Mn 0.340 0.660 0.750  3.41
Cu 0.000 0.000 0.000  0.04
Cu 0.000 0.000 0.500  0.04
Ni 0.579 0.866 0.268  0.47
Ni 0.266 0.443 0.499  0.56
Ni 0.866 0.579 0.768  0.47
Ni 0.115 0.885 0.250  0.49
Ni 0.557 0.734 0.001  0.56
Ni 0.443 0.266 0.999  0.56
Ni 0.885 0.115 0.750  0.49
Ni 0.134 0.421 0.232  0.47
Ni 0.734 0.557 0.501  0.56
Ni 0.421 0.134 0.732  0.47

***

(6)
A plane-wave DFT calculation with PBE was carried out for crystalline MnCu2Ni at its relaxed geometry.

Results
The raw total energy comes out at -22.95 eV/cell. As for the space group: F-43m, No. 216. As for the formation enthalpy at 0 K: 0.05 eV/atom.

Lattice parameters (Å, degrees): 4.097 4.097 4.097 60.00 60.00 60.00
Site moments in Bohr magnetons follow the coordinates.
Fractional coordinates of all 4 atoms:
Cu 0.000 0.000 0.000  0.04
Cu 0.250 0.250 0.250  0.13
Mn 0.500 0.500 0.500  3.52
Ni 0.750 0.750 0.750  0.52

***

(7)
A plane-wave DFT calculation with PBE was carried out for crystalline Mn2Cu2Ni15 at its relaxed geometry.

Results
The raw total energy comes out at -111.10 eV/cell. As for the space group: R-3m, No. 166. As for the formation enthalpy at 0 K: 0.11 eV/atom.

Lattice parameters (Å, degrees): 6.158 6.158 6.158 82.21 82.21 82.21
Site moments in Bohr magnetons follow the coordinates.
Fractional coordinates of all 19 atoms:
Mn 0.345 0.345 0.345  3.97
Mn 0.655 0.655 0.655  3.97
Cu 0.101 0.101 0.101  0.02
Cu 0.899 0.899 0.899  0.02
Ni 0.500 0.000 0.000  0.54
Ni 0.000 0.000 0.500  0.54
Ni 0.000 0.500 0.000  0.54
Ni 0.000 0.692 0.308  0.53
Ni 0.692 0.308 0.000  0.53
Ni 0.308 0.000 0.692  0.53
Ni 0.308 0.692 0.000  0.53
Ni 0.692 0.000 0.308  0.53
Ni 0.000 0.308 0.692  0.53
Ni 0.160 0.651 0.651  0.61
Ni 0.651 0.651 0.160  0.61
Ni 0.651 0.160 0.651  0.61
Ni 0.840 0.349 0.349  0.61
Ni 0.349 0.349 0.840  0.61
Ni 0.349 0.840 0.349  0.61